6
Lattice="4.129 0.000 0.000 -2.065 3.576 0.000 0.000 0.000 11.455" Properties=species:S:1:pos:R:3 comment="Gd2Ga2BrCl, optimized geometry, DFT GGA-PBE" final_energy_ev_per_atom=-4.46 sg=P3m1 total_magnetization_mub_per_atom=0.001 pbc="T T T"
Gd 0.000 0.000 0.000
Gd 0.000 0.000 4.143
Ga 0.000 2.384 1.746
Ga 2.065 1.192 2.423
Br 0.000 2.384 5.925
Cl 2.065 1.192 9.885

11
Lattice="6.394 -4.258 0.000 6.394 4.258 0.000 -0.866 0.000 7.600" Properties=species:S:1:pos:R:3 comment="Ga2PdI2Br4Cl2, optimized geometry, DFT GGA-PBE" final_energy_ev_per_atom=-2.92 relative_energy_ev_per_atom=0.000 sg=C2/m pbc="T T T"
Ga 2.463 0.000 2.486
Ga 9.459 0.000 5.115
Pd 0.000 0.000 0.000
I 1.631 0.000 4.865
I 10.291 0.000 2.735
Br 4.161 2.521 6.477
Br 7.761 2.521 1.124
Br 4.161 -2.521 6.477
Br 7.761 -2.521 1.124
Cl 4.599 0.000 2.201
Cl 7.323 0.000 5.399

11
Lattice="6.555 -4.378 0.000 6.555 4.378 0.000 -0.450 0.000 7.672" Properties=species:S:1:pos:R:3 comment="Ga2PdI4Br2Cl2, optimized geometry, DFT GGA-PBE" final_energy_ev_per_atom=-2.87 relative_energy_ev_per_atom=0.000 sg=C2/m pbc="T T T"
Ga 2.688 0.000 2.583
Ga 9.973 0.000 5.090
Pd 0.000 0.000 0.000
I 4.654 2.513 6.500
I 8.007 2.513 1.173
I 4.654 -2.513 6.500
I 8.007 -2.513 1.173
Br 2.008 0.000 4.804
Br 10.653 0.000 2.868
Cl 4.831 0.000 2.296
Cl 7.830 0.000 5.377

11
Lattice="6.333 -4.294 0.000 6.333 4.294 0.000 -0.886 0.000 7.725" Properties=species:S:1:pos:R:3 comment="Ga2IrBr6Cl2, optimized geometry, DFT GGA-PBE" final_energy_ev_per_atom=-3.19 sg=C2/m total_magnetization_mub_per_atom=0.091 pbc="T T T"
Ga 2.520 0.000 2.521
Ga 9.261 0.000 5.204
Ir 0.000 0.000 0.000
Br 4.144 2.597 6.545
Br 1.825 0.000 4.718
Br 7.636 2.597 1.180
Br 4.144 -2.597 6.545
Br 9.955 0.000 3.007
Br 7.636 -2.597 1.180
Cl 4.627 0.000 2.118
Cl 7.153 0.000 5.607

7
Lattice="5.920 0.000 0.000 0.000 5.920 0.000 0.000 0.000 5.999" Properties=species:S:1:pos:R:3 comment="Nd3GaBr2Cl, optimized geometry, DFT GGA-PBE" final_energy_ev_per_atom=-4.60 sg=P4/mmm total_magnetization_mub_per_atom=0.000 pbc="T T T"
Nd 0.000 0.000 0.000
Nd 0.000 2.960 3.000
Nd 2.960 0.000 3.000
Ga 0.000 0.000 3.000
Br 0.000 2.960 0.000
Br 2.960 0.000 0.000
Cl 2.960 2.960 3.000

7
Lattice="5.917 0.000 0.000 0.000 5.917 0.000 0.000 0.000 5.829" Properties=species:S:1:pos:R:3 comment="Nd3GaBrCl2, optimized geometry, DFT GGA-PBE" final_energy_ev_per_atom=-4.70 sg=P4/mmm total_magnetization_mub_per_atom=0.000 pbc="T T T"
Nd 0.000 0.000 0.000
Nd 0.000 2.958 2.914
Nd 2.958 0.000 2.914
Ga 0.000 0.000 2.914
Br 2.958 2.958 2.914
Cl 0.000 2.958 0.000
Cl 2.958 0.000 0.000

11
Lattice="6.387 -4.086 0.000 6.387 4.086 0.000 -1.087 0.000 7.265" Properties=species:S:1:pos:R:3 comment="Ga2PdBr4Cl4, optimized geometry, DFT GGA-PBE" final_energy_ev_per_atom=-3.09 relative_energy_ev_per_atom=0.035 sg=C2/m pbc="T T T"
Ga 2.319 0.000 2.393
Ga 9.367 0.000 4.872
Pd 0.000 0.000 0.000
Br 1.486 0.000 4.536
Br 4.586 0.000 2.142
Br 7.100 0.000 5.123
Br 10.200 0.000 2.729
Cl 4.011 2.475 6.174
Cl 7.675 2.475 1.091
Cl 4.011 -2.475 6.174
Cl 7.675 -2.475 1.091

11
Lattice="6.360 -4.231 0.000 6.360 4.231 0.000 -0.793 0.000 7.434" Properties=species:S:1:pos:R:3 comment="Ga2PdBr6Cl2, optimized geometry, DFT GGA-PBE" final_energy_ev_per_atom=-3.02 sg=C2/m pbc="T T T"
Ga 2.462 0.000 2.470
Ga 9.465 0.000 4.965
Pd 0.000 0.000 0.000
Br 4.210 2.502 6.306
Br 1.678 0.000 4.639
Br 7.717 2.502 1.128
Br 4.210 -2.502 6.306
Br 10.249 0.000 2.795
Br 7.717 -2.502 1.128
Cl 4.593 0.000 2.201
Cl 7.334 0.000 5.233

11
Lattice="6.364 -4.082 0.000 6.364 4.082 0.000 -0.921 0.000 7.067" Properties=species:S:1:pos:R:3 comment="Ga2PdBr2Cl6, optimized geometry, DFT GGA-PBE" final_energy_ev_per_atom=-3.20 sg=C2/m pbc="T T T"
Ga 2.359 0.000 2.346
Ga 9.448 0.000 4.721
Pd 0.000 0.000 0.000
Br 4.626 0.000 2.084
Br 7.181 0.000 4.983
Cl 4.144 2.466 5.992
Cl 1.598 0.000 4.362
Cl 7.663 2.466 1.074
Cl 4.144 -2.466 5.992
Cl 10.209 0.000 2.705
Cl 7.663 -2.466 1.074

11
Lattice="6.318 -4.221 0.000 6.318 4.221 0.000 -0.656 0.000 7.245" Properties=species:S:1:pos:R:3 comment="Ga2PdBr4Cl4, optimized geometry, DFT GGA-PBE" final_energy_ev_per_atom=-3.13 relative_energy_ev_per_atom=0.000 sg=C2/m pbc="T T T"
Ga 2.476 0.000 2.435
Ga 9.502 0.000 4.810
Pd 0.000 0.000 0.000
Br 4.295 2.493 6.135
Br 7.684 2.493 1.109
Br 4.295 -2.493 6.135
Br 7.684 -2.493 1.109
Cl 1.766 0.000 4.469
Cl 4.598 0.000 2.157
Cl 7.381 0.000 5.088
Cl 10.212 0.000 2.776

7
Lattice="5.958 0.000 0.000 0.000 5.958 0.000 0.000 0.000 5.885" Properties=species:S:1:pos:R:3 comment="Pr3GaBrCl2, optimized geometry, DFT GGA-PBE" final_energy_ev_per_atom=-4.72 sg=P4/mmm total_magnetization_mub_per_atom=0.000 pbc="T T T"
Pr 0.000 0.000 0.000
Pr 0.000 2.979 2.942
Pr 2.979 0.000 2.942
Ga 0.000 0.000 2.942
Br 2.979 2.979 2.942
Cl 0.000 2.979 0.000
Cl 2.979 0.000 0.000

11
Lattice="6.356 -4.151 0.000 6.356 4.151 0.000 -1.273 0.000 7.523" Properties=species:S:1:pos:R:3 comment="Ga2PtBr4Cl4, optimized geometry, DFT GGA-PBE" final_energy_ev_per_atom=-3.14 relative_energy_ev_per_atom=0.031 sg=C2/m total_magnetization_mub_per_atom=0.000 pbc="T T T"
Ga 2.349 0.000 2.431
Ga 9.090 0.000 5.093
Pt 0.000 0.000 0.000
Br 1.576 0.000 4.591
Br 4.599 0.000 2.041
Br 6.840 0.000 5.482
Br 9.863 0.000 2.932
Cl 3.853 2.558 6.377
Cl 7.587 2.558 1.146
Cl 3.853 -2.558 6.377
Cl 7.587 -2.558 1.146

11
Lattice="6.272 -4.274 0.000 6.272 4.274 0.000 -0.764 0.000 7.467" Properties=species:S:1:pos:R:3 comment="Ga2PtBr4Cl4, optimized geometry, DFT GGA-PBE" final_energy_ev_per_atom=-3.17 relative_energy_ev_per_atom=0.000 sg=C2/m total_magnetization_mub_per_atom=0.000 pbc="T T T"
Ga 2.513 0.000 2.449
Ga 9.267 0.000 5.018
Pt 0.000 0.000 0.000
Br 4.190 2.560 6.308
Br 7.589 2.560 1.159
Br 4.190 -2.560 6.308
Br 7.589 -2.560 1.159
Cl 1.903 0.000 4.515
Cl 4.622 0.000 2.061
Cl 7.157 0.000 5.406
Cl 9.876 0.000 2.952

11
Lattice="6.333 -4.327 0.000 6.333 4.327 0.000 -0.949 0.000 7.702" Properties=species:S:1:pos:R:3 comment="Ga2PtBr6Cl2, optimized geometry, DFT GGA-PBE" final_energy_ev_per_atom=-3.07 relative_energy_ev_per_atom=0.000 sg=C2/m total_magnetization_mub_per_atom=0.000 pbc="T T T"
Ga 2.491 0.000 2.503
Ga 9.226 0.000 5.199
Pt 0.000 0.000 0.000
Br 4.083 2.613 6.517
Br 1.792 0.000 4.698
Br 7.634 2.613 1.184
Br 4.083 -2.613 6.517
Br 9.925 0.000 3.004
Br 7.634 -2.613 1.184
Cl 4.601 0.000 2.116
Cl 7.115 0.000 5.585

6
Lattice="4.171 0.000 0.000 -2.085 3.612 0.000 0.000 0.000 11.030" Properties=species:S:1:pos:R:3 comment="Sm2Ga2BrCl, optimized geometry, DFT GGA-PBE" final_energy_ev_per_atom=-4.49 sg=P3m1 total_magnetization_mub_per_atom=0.001 pbc="T T T"
Sm 0.000 0.000 0.000
Sm 0.000 0.000 4.204
Ga 0.000 2.408 1.762
Ga 2.085 1.204 2.416
Br 2.085 1.204 9.227
Cl 0.000 2.408 5.784

16
Lattice="7.008 0.000 0.000 0.000 12.503 0.000 -2.235 0.000 6.457" Properties=species:S:1:pos:R:3 comment="GdBrCl2, optimized geometry, DFT GGA-PBE" final_energy_ev_per_atom=-4.66 sg=C2/m total_magnetization_mub_per_atom=0.000 pbc="T T T"
Gd 0.000 2.097 0.000
Gd 0.000 10.406 0.000
Gd 3.504 4.155 0.000
Gd 3.504 8.348 0.000
Br 0.969 0.000 1.647
Br 0.300 6.252 4.810
Br 4.473 6.252 1.647
Br 3.803 0.000 4.810
Cl -0.008 2.320 4.978
Cl -0.008 10.184 4.978
Cl 1.277 3.932 1.480
Cl 1.277 8.571 1.480
Cl 3.495 3.932 4.978
Cl 3.495 8.571 4.978
Cl 4.781 2.320 1.480
Cl 4.781 10.184 1.480

16
Lattice="7.295 0.000 0.000 0.000 12.325 0.000 -2.372 0.000 6.675" Properties=species:S:1:pos:R:3 comment="GdBr2Cl, optimized geometry, DFT GGA-PBE" final_energy_ev_per_atom=-4.48 sg=C2/m total_magnetization_mub_per_atom=0.000 pbc="T T T"
Gd 0.000 2.029 0.000
Gd 0.000 10.295 0.000
Gd 3.647 4.133 0.000
Gd 3.647 8.192 0.000
Br -0.038 2.194 5.065
Br -0.038 10.130 5.065
Br 1.313 3.968 1.610
Br 1.313 8.357 1.610
Br 3.609 3.968 5.065
Br 3.609 8.357 5.065
Br 4.961 2.194 1.610
Br 4.961 10.130 1.610
Cl 0.916 0.000 1.499
Cl 0.359 6.162 5.177
Cl 4.563 6.162 1.499
Cl 4.006 0.000 5.177

8
Lattice="3.832 0.000 0.000 -1.916 3.318 0.000 0.000 0.000 14.360" Properties=species:S:1:pos:R:3 comment="GdHBrCl, optimized geometry, DFT GGA-PBE" final_energy_ev_per_atom=-4.54 sg=P6_3mc total_magnetization_mub_per_atom=0.000 pbc="T T T"
Gd 0.000 0.000 0.000
Gd 0.000 0.000 7.180
H 0.000 2.212 0.022
H 1.916 1.106 7.202
Br 0.000 2.212 9.122
Br 1.916 1.106 1.942
Cl 0.000 2.212 5.444
Cl 1.916 1.106 12.624

8
Lattice="3.839 0.000 0.000 -1.919 3.325 0.000 0.000 0.000 14.433" Properties=species:S:1:pos:R:3 comment="GdHBrCl, optimized geometry, DFT GGA-PBE" final_energy_ev_per_atom=-4.54 sg=P-6m2 total_magnetization_mub_per_atom=0.000 pbc="T T T"
Gd 0.000 0.000 0.000
Gd 0.000 0.000 7.217
H 0.000 2.216 0.000
H 1.919 1.108 7.217
Br 1.919 1.108 1.936
Br 1.919 1.108 12.498
Cl 0.000 2.216 5.467
Cl 0.000 2.216 8.966

8
Lattice="3.832 0.000 0.000 -1.916 3.318 0.000 0.000 0.000 14.388" Properties=species:S:1:pos:R:3 comment="GdHBrCl, optimized geometry, DFT GGA-PBE" final_energy_ev_per_atom=-4.54 sg=P-3m1 total_magnetization_mub_per_atom=0.000 pbc="T T T"
Gd 0.000 0.000 3.532
Gd 0.000 0.000 10.856
H 0.000 2.212 3.560
H 1.916 1.106 10.828
Br 0.000 2.212 8.913
Br 1.916 1.106 5.475
Cl 0.000 2.212 12.592
Cl 1.916 1.106 1.797